## A
Material: SbAu15
Method: DFT, PBE
State: optimized geometry

Structure (POSCAR):
```
SbAu15
1.0
4.136 0.000 0.000
-0.007 8.156 0.000
-0.003 -0.039 37.517
Au Sb
60 4
direct
0.000 0.625 0.583 Au
0.003 0.890 0.075 Au
0.500 0.875 0.472 Au
0.501 0.131 0.863 Au
0.000 0.625 0.472 Au
0.500 0.875 0.808 Au
0.000 0.125 0.583 Au
0.000 0.625 0.248 Au
0.000 0.873 0.192 Au
0.500 0.875 0.583 Au
0.000 0.383 0.868 Au
0.999 0.871 0.863 Au
0.000 0.375 0.528 Au
0.500 0.875 0.695 Au
0.500 0.626 0.640 Au
0.500 0.125 0.417 Au
0.500 0.374 0.248 Au
0.000 0.375 0.640 Au
0.000 0.126 0.695 Au
0.000 0.375 0.752 Au
0.000 0.874 0.305 Au
0.499 0.869 0.137 Au
0.000 0.623 0.808 Au
0.997 0.110 0.924 Au
0.497 0.113 0.076 Au
0.000 0.875 0.640 Au
0.500 0.622 0.192 Au
0.500 0.624 0.305 Au
0.500 0.624 0.417 Au
0.500 0.125 0.528 Au
0.000 0.375 0.305 Au
0.500 0.378 0.808 Au
0.000 0.617 0.132 Au
0.000 0.127 0.808 Au
0.500 0.376 0.583 Au
0.500 0.626 0.752 Au
0.500 0.375 0.472 Au
0.500 0.376 0.695 Au
0.500 0.625 0.528 Au
0.500 0.382 0.132 Au
0.000 0.625 0.360 Au
0.500 0.874 0.249 Au
0.500 0.125 0.305 Au
0.500 0.126 0.751 Au
0.000 0.375 0.417 Au
0.500 0.618 0.868 Au
0.000 0.124 0.249 Au
0.500 0.875 0.360 Au
0.500 0.374 0.360 Au
0.500 0.125 0.640 Au
0.001 0.129 0.137 Au
0.000 0.875 0.417 Au
0.000 0.625 0.695 Au
0.503 0.887 0.924 Au
0.000 0.377 0.192 Au
0.500 0.125 0.192 Au
0.000 0.125 0.360 Au
0.000 0.875 0.751 Au
0.000 0.875 0.528 Au
0.000 0.125 0.472 Au
0.500 0.674 0.072 Sb
0.500 0.327 0.928 Sb
0.000 0.669 0.928 Sb
0.999 0.331 0.072 Sb
```

***

## B
Material: SbAu15
Method: DFT, PBE
State: optimized geometry

Structure (POSCAR):
```
SbAu15
1.0
-1.735 3.403 -4.319
1.585 -1.569 -1.873
-33.616 -25.823 -6.815
Au Sb
30 2
direct
0.875 0.000 0.525 Au
0.125 0.500 0.377 Au
0.623 0.500 0.277 Au
0.375 0.000 0.128 Au
0.874 0.000 0.723 Au
0.375 0.000 0.327 Au
0.126 0.500 0.277 Au
0.625 0.500 0.872 Au
0.125 0.500 0.673 Au
0.875 0.000 0.623 Au
0.625 0.500 0.773 Au
0.874 0.000 0.228 Au
0.125 0.500 0.475 Au
0.375 0.000 0.623 Au
0.120 0.500 0.178 Au
0.375 0.000 0.426 Au
0.875 0.000 0.426 Au
0.125 0.500 0.574 Au
0.377 0.000 0.723 Au
0.625 0.500 0.673 Au
0.625 0.500 0.574 Au
0.625 0.500 0.377 Au
0.375 0.000 0.227 Au
0.880 0.000 0.822 Au
0.625 0.500 0.475 Au
0.375 0.000 0.525 Au
0.875 0.000 0.327 Au
0.372 0.000 0.822 Au
0.126 0.500 0.772 Au
0.628 0.500 0.178 Au
0.125 0.500 0.877 Sb
0.875 0.000 0.123 Sb
```

***

Tell me which of them is the least stable. Sure, it is B.

***

## A
Material: HfCoAg
Method: DFT, PBE
State: optimized geometry

Structure (POSCAR):
```
HfCoAg
1.0
0.000 3.014 3.014
3.014 0.000 3.014
3.014 3.014 0.000
Ag Hf Co
1 1 1
direct
0.250 0.250 0.250 Ag
0.750 0.750 0.750 Hf
0.000 0.000 0.000 Co
```

magnetic moment	0.001	μB per atom

***

## B
Material: HfCoAg
Method: DFT, PBE
State: optimized geometry

Structure (POSCAR):
```
HfCoAg
1.0
0.000 3.078 3.078
3.078 0.000 3.078
3.078 3.078 0.000
Co Hf Ag
1 1 1
direct
0.750 0.750 0.750 Co
0.000 0.000 0.000 Hf
0.250 0.250 0.250 Ag
```

magnetic moment	0.001	μB per atom

***

Tell me which of them is the least stable. Sure, it is B.

***

## A
Material: Cu4Ag
Method: DFT, PBE
State: optimized geometry

Structure (POSCAR):
```
Cu4Ag
1.0
-1.706 6.938 6.221
-1.338 -8.230 -4.497
2.172 -1.737 2.532
Cu Ag
8 2
direct
0.058 0.942 0.250 Cu
0.841 0.159 0.250 Cu
0.159 0.841 0.750 Cu
0.250 0.750 0.250 Cu
0.658 0.342 0.250 Cu
0.750 0.250 0.750 Cu
0.942 0.058 0.750 Cu
0.342 0.658 0.750 Cu
0.555 0.445 0.750 Ag
0.445 0.555 0.250 Ag
```

***

## B
Material: Cu4Ag
Method: DFT, PBE
State: optimized geometry

Structure (POSCAR):
```
Cu4Ag
1.0
-4.134 -1.349 -4.802
-1.096 -1.951 1.492
-3.814 5.244 4.056
Cu Ag
8 2
direct
0.858 0.250 0.051 Cu
0.778 0.750 0.756 Cu
0.142 0.750 0.949 Cu
0.222 0.250 0.244 Cu
0.946 0.750 0.356 Cu
0.341 0.750 0.523 Cu
0.659 0.250 0.477 Cu
0.054 0.250 0.644 Cu
0.547 0.750 0.168 Ag
0.453 0.250 0.832 Ag
```

***

Tell me which of them is the least stable. Sure, it is B.

***

## A
Material: ErCuTe3Pb
Method: DFT, PBE
State: optimized geometry

Structure (POSCAR):
```
ErCuTe3Pb
1.0
-1.668 -8.685 -1.397
2.932 -1.078 3.202
-12.624 0.536 11.739
Te Cu Er Pb
12 4 4 4
direct
0.882 0.750 0.441 Te
0.514 0.750 0.595 Te
0.186 0.750 0.285 Te
0.314 0.250 0.785 Te
0.986 0.250 0.095 Te
0.814 0.250 0.715 Te
0.686 0.750 0.215 Te
0.486 0.250 0.405 Te
0.618 0.250 0.941 Te
0.014 0.750 0.905 Te
0.118 0.250 0.559 Te
0.382 0.750 0.059 Te
0.372 0.250 0.632 Cu
0.128 0.750 0.132 Cu
0.872 0.250 0.868 Cu
0.628 0.750 0.368 Cu
0.742 0.250 0.537 Er
0.758 0.750 0.037 Er
0.258 0.750 0.463 Er
0.242 0.250 0.963 Er
0.582 0.750 0.783 Pb
0.918 0.250 0.283 Pb
0.082 0.750 0.717 Pb
0.418 0.250 0.217 Pb
```

magnetic moment	0.000	μB per atom

***

## B
Material: ErCuTe3Pb
Method: DFT, PBE
State: optimized geometry

Structure (POSCAR):
```
ErCuTe3Pb
1.0
-4.843 5.818 -3.482
-1.860 0.714 3.779
8.697 5.046 3.328
Te Cu Pb Er
6 2 2 2
direct
0.074 0.250 0.364 Te
0.456 0.750 0.668 Te
0.926 0.750 0.636 Te
0.756 0.750 0.040 Te
0.544 0.250 0.332 Te
0.244 0.250 0.960 Te
0.423 0.750 0.912 Cu
0.577 0.250 0.088 Cu
0.240 0.750 0.200 Pb
0.760 0.250 0.800 Pb
0.799 0.750 0.331 Er
0.201 0.250 0.669 Er
```

magnetic moment	0.000	μB per atom

***

Tell me which of them is the least stable. Sure, it is A.